No. 1
Sr2SiSe, relaxed, DFT GGA-PBE; ΔE to the lowest computed polymorph = 0.0284 eV per atom; D(E_F) = 1.69 states/eV/cell; space-group type = P4/mmm
1.0
3.715 0.000 0.000
0.000 3.715 0.000
0.000 0.000 8.130
Sr Si Se
2 1 1
Cartesian
0.000 0.000 1.900 Sr
0.000 0.000 6.230 Sr
1.858 1.858 4.065 Si
1.858 1.858 0.000 Se

---

No. 2
Rb2Nd2HfSe6, relaxed, DFT GGA-PBE; D(E_F) = 0.00 states/eV/cell; E_tot = -60.19 eV/cell; space-group type = C2/m
1.0
3.647 -6.238 0.000
3.647 6.238 0.000
-2.520 0.000 8.183
Rb Nd Hf Se
2 2 1 6
Cartesian
3.647 4.091 0.000 Rb
3.647 -4.091 0.000 Rb
2.386 2.081 4.092 Nd
2.386 -2.081 4.092 Nd
-1.260 0.000 4.092 Hf
-0.132 1.915 5.669 Se
0.961 0.000 2.529 Se
-0.132 -1.915 5.669 Se
4.905 1.915 2.514 Se
3.812 0.000 5.655 Se
4.905 -1.915 2.514 Se

---

No. 3
Ba2HgCO, relaxed, DFT GGA-PBE; D(E_F) = 0.14 states/eV/cell; E_tot = -16.43 eV/cell; space-group type = P4/mmm
1.0
6.170 0.000 0.000
0.000 6.170 0.000
0.000 0.000 3.966
Ba Hg C O
2 1 1 1
Cartesian
0.000 3.085 0.000 Ba
3.085 0.000 0.000 Ba
0.000 0.000 0.000 Hg
0.000 0.000 1.983 C
3.085 3.085 1.983 O

---

| no. | spin magnetization (μB per atom) |
| --- | --- |
| 1 | 0.00 |
| 2 | 0.00 |
| 3 | 0.00 |